# 1
Crystalline BePPt4 at its relaxed geometry. Source: the Alexandria database, functional PBE.

Calculated values
total magnetization = 0.000 μB/f.u.
energy relative to the elements = -436 meV per atom
distance to the lowest polymorph of the same formula = 0.000 eV per atom
crystal system = monoclinic
space group = P2/c (13)

Cell lengths 3.8497, 7.4397, 12.2573 Å; angles 90.00, 90.00, 87.36 degrees
Fractional positions:
Pt 0.2501 0.2500 0.9336
Pt 0.2484 0.5429 0.1728
Pt 0.2499 0.7500 0.8892
Pt 0.7515 0.4572 0.3272
Pt 0.2515 0.9572 0.1728
Pt 0.2499 0.2500 0.4336
Pt 0.2516 0.9571 0.6728
Pt 0.7516 0.4571 0.8272
Pt 0.7485 0.0428 0.8272
Pt 0.2501 0.7500 0.3892
Pt 0.7499 0.7500 0.0664
Pt 0.2485 0.5428 0.6728
Pt 0.7501 0.2500 0.1108
Pt 0.7484 0.0429 0.3272
Pt 0.7499 0.2500 0.6108
Pt 0.7501 0.7500 0.5664
P 0.5000 0.5000 0.5000
P 0.0000 0.0000 0.5000
P 0.5000 0.5000 0.0000
P 0.0000 0.0000 0.0000
Be 0.2501 0.2501 0.2437
Be 0.7501 0.7501 0.2563
Be 0.7499 0.7499 0.7563
Be 0.2499 0.2499 0.7437

# 2
Crystalline Be2PPt at its relaxed geometry. Source: the Alexandria database, functional PBE.

Calculated values
total magnetization = 0.000 μB/f.u.
energy relative to the elements = -110 meV per atom
crystal system = trigonal
space group = R-3m (166)

Cell lengths 7.1878, 7.1878, 7.1878 Å; angles 22.33, 22.33, 22.33 degrees
Fractional positions:
P 0.7500 0.7500 0.7500
Be 0.4965 0.4965 0.4965
Be 0.0035 0.0035 0.0035
Pt 0.2500 0.2500 0.2500

# 3
Crystalline Be2PPt2 at its relaxed geometry. Source: the Alexandria database, functional PBE.

Calculated values
total magnetization = 0.000 μB/f.u.
energy relative to the elements = -334 meV per atom
distance to the lowest polymorph of the same formula = 0.055 eV per atom
crystal system = tetragonal
space group = I4/mmm (139)

Cell lengths 3.2108, 3.2108, 6.6291 Å; angles 75.99, 75.99, 90.00 degrees
Fractional positions:
Be 0.2500 0.7500 0.5000
Be 0.7500 0.2500 0.5000
Pt 0.3870 0.3870 0.2259
Pt 0.6130 0.6130 0.7741
P 0.0000 0.0000 0.0000

# 4
Crystalline Be2PPt at its relaxed geometry. Source: the Alexandria database, functional PBE.

Calculated values
total magnetization = 0.000 μB/f.u.
energy relative to the elements = -206 meV per atom
crystal system = monoclinic
space group = P2/m (10)

Cell lengths 2.7162, 3.4311, 5.6376 Å; angles 63.42, 90.00, 90.00 degrees
Fractional positions:
Pt 0.5000 0.7500 0.7500
Be 0.0000 0.4395 0.5141
Be 0.0000 0.0605 0.9859
P 0.5000 0.2500 0.2500

# 5
Crystalline BePPt at its relaxed geometry. Source: the Alexandria database, functional PBE.

Calculated values
total magnetization = 0.000 μB/f.u.
energy relative to the elements = -81 meV per atom
distance to the lowest polymorph of the same formula = 0.310 eV per atom
crystal system = trigonal
space group = P3m1 (156)

Cell lengths 4.1441, 4.1441, 2.8193 Å; angles 90.00, 90.00, 120.00 degrees
Fractional positions:
Be 0.0000 0.0000 0.6642
P 0.3333 0.6667 0.6687
Pt 0.6667 0.3333 0.6671

# 6
Crystalline BePPt at its relaxed geometry. Source: the Alexandria database, functional PBE.

Calculated values
total magnetization = 0.000 μB/f.u.
energy relative to the elements = -187 meV per atom
distance to the lowest polymorph of the same formula = 0.205 eV per atom
crystal system = cubic
space group = F-43m (216)

Cell lengths 3.8373, 3.8373, 3.8373 Å; angles 60.00, 60.00, 60.00 degrees
Fractional positions:
P 0.0000 0.0000 0.0000
Pt 0.5000 0.5000 0.5000
Be 0.7500 0.7500 0.7500

# 7
Crystalline Be2PPt at its relaxed geometry. Source: the Alexandria database, functional PBE.

Calculated values
total magnetization = 0.000 μB/f.u.
energy relative to the elements = -168 meV per atom
crystal system = monoclinic
space group = C2/m (12)

Cell lengths 5.6282, 4.2214, 2.7431 Å; angles 89.91, 60.99, 120.60 degrees
Fractional positions:
P 0.0000 0.5000 0.5000
Be 0.5000 0.0000 0.5000
Be 0.0000 0.0000 0.0000
Pt 0.5000 0.5000 0.0000

# 8
Crystalline Be2PPt at its relaxed geometry. Source: the Alexandria database, functional PBE.

Calculated values
total magnetization = 0.000 μB/f.u.
energy relative to the elements = -236 meV per atom
crystal system = tetragonal
space group = P4/mmm (123)

Cell lengths 3.0579, 3.0579, 4.8882 Å; angles 90.00, 90.00, 90.00 degrees
Fractional positions:
Be 0.0000 0.0000 0.0171
Be 0.0000 0.0000 0.4829
Pt 0.5000 0.5000 0.7500
P 0.5000 0.5000 0.2500